Entry from OQMD via LeMat-Bulk: a geometry-optimized TaBiAs structure (PBE).

The space group is F-43m (No. 216) and the conventional cell measures 6.603, 6.603 and 6.603 Å, with angles of 90.00, 90.00 and 90.00 degrees. The distinct sites, in fractional coordinates, are Ta at (0.000, 0.000, 0.000), Bi at (0.000, 0.000, 0.500) and As at (0.250, 0.250, 0.750).

Its total magnetization is 0.893 μB per formula unit. The calculation puts the energy above the most stable polymorph in this dataset at 235 meV per atom. The value obtained for the total energy is -6.088 eV/atom.